Here is crystalline Ba2LiSi at its relaxed geometry from the Alexandria database. Energies are from PBEsol.

Properties
ΔE_f (raw): -4.36 kcal/mol of atoms
Raw total energy: -3.192 eV/atom

Lattice parameters (Å, degrees): 4.7551 5.1501 6.0203 115.32 90.00 90.00
Atoms (fractional coordinates):
1 Si 0.5000 0.7112 0.4225
2 Ba 0.0000 0.1027 0.2053
3 Ba 0.5000 0.4061 0.8122
4 Li 0.0000 0.7811 0.5622


Here is crystalline MgTaSe2 at its relaxed geometry from the Alexandria database. Energies are from PBEsol.

Properties
ΔE_f (raw): -10.13 kcal/mol of atoms
Raw total energy: -5.931 eV/atom

Lattice parameters (Å, degrees): 3.3241 4.4873 5.1099 89.95 108.98 90.00
Atoms (fractional coordinates):
1 Mg 0.7285 0.1245 0.4569
2 Se 0.9920 0.1257 0.9839
3 Se 0.2486 0.6250 0.4973
4 Ta 0.5309 0.6249 0.0619


Here is crystalline KSiIr2 at its relaxed geometry from the Alexandria database. Energies are from PBEsol.

Properties
ΔE_f (raw): 2.41 kcal/mol of atoms
Raw total energy: -6.527 eV/atom

Lattice parameters (Å, degrees): 2.7534 5.6116 6.4550 65.39 77.69 75.80
Atoms (fractional coordinates):
1 Ir 0.3085 0.7851 0.5979
2 Ir 0.6915 0.2149 0.4021
3 K 0.5000 0.0000 0.0000
4 Si 0.0000 0.5000 0.5000


Here is crystalline KLaNb3 at its relaxed geometry from the Alexandria database. Energies are from PBEsol.

Properties
E_form: 1.897 eV per atom
Raw total energy: -5.892 eV/atom

Lattice parameters (Å, degrees): 5.0127 5.0127 5.0127 90.00 90.00 90.00
Atoms (fractional coordinates):
1 Nb 0.0000 0.5000 0.0000
2 Nb 0.0000 0.0000 0.5000
3 Nb 0.5000 0.0000 0.0000
4 K 0.5000 0.5000 0.5000
5 La 0.0000 0.0000 0.0000


Here is crystalline CaTe2Mo at its relaxed geometry from the Alexandria database. Energies are from PBEsol.

Properties
Polymorph energy (0 for the lowest one): 0.38 kcal/mol of atoms
ΔE_f (raw): -9.27 kcal/mol of atoms
Raw total energy: -5.640 eV/atom

Lattice parameters (Å, degrees): 3.7348 4.3801 6.7367 103.19 90.00 115.24
Atoms (fractional coordinates):
1 Mo 0.5000 0.0000 0.0000
2 Te 0.7599 0.5198 0.7942
3 Te 0.2401 0.4802 0.2058
4 Ca 0.0000 0.0000 0.5000


Here is crystalline SrTcSb2 at its relaxed geometry from the Alexandria database. Energies are from PBEsol.

Properties
Polymorph energy (0 for the lowest one): 0.45 kcal/mol of atoms
ΔE_f (raw): -0.44 kcal/mol of atoms
Raw total energy: -5.574 eV/atom

Lattice parameters (Å, degrees): 6.5522 6.5522 6.5522 105.33 105.33 118.12
Atoms (fractional coordinates):
1 Sb 0.9418 0.8750 0.5668
2 Sb 0.3082 0.3750 0.4332
3 Sb 0.1250 0.6918 0.0668
4 Sb 0.6250 0.0582 0.9332
5 Tc 0.0000 0.0000 0.0000
6 Tc 0.2500 0.7500 0.5000
7 Sr 0.5000 0.5000 0.0000
8 Sr 0.7500 0.2500 0.5000


Here is crystalline TmGe at its relaxed geometry from the Alexandria database. Energies are from PBEsol.

Properties
E_form: -0.916 eV per atom
Raw total energy: -5.835 eV/atom

Lattice parameters (Å, degrees): 3.8569 4.1599 5.6214 68.28 90.00 90.00
Atoms (fractional coordinates):
1 Ge 0.7500 0.4137 0.1726
2 Ge 0.2500 0.5863 0.8274
3 Tm 0.7500 0.1385 0.7230
4 Tm 0.2500 0.8615 0.2770


Here is crystalline AgMoP2C at its relaxed geometry from the Alexandria database. Energies are from PBEsol.

Properties
E_form: 1.023 eV per atom
Raw total energy: -6.238 eV/atom

Lattice parameters (Å, degrees): 3.9870 4.6877 4.6877 90.00 90.00 90.00
Atoms (fractional coordinates):
1 P 0.0000 0.0000 0.5000
2 P 0.0000 0.5000 0.0000
3 Mo 0.0000 0.0000 0.0000
4 C 0.5000 0.0000 0.0000
5 Ag 0.5000 0.5000 0.5000